[1]
Here is Ac2La3Hg2 after structural relaxation from the Alexandria database. Energies are from PBE.

Output
The total energy is -3.59 eV/atom. The total magnetization comes out at 0.74 Bohr magnetons per cell. The value obtained for the density of states at the Fermi level is 10.216 states/eV per cell.

Cell and atoms, written as POSCAR:
```
Ac2La3Hg2
1.0
1.960 -16.399 0.000
1.960 16.399 0.000
0.000 0.000 3.884
Ac La Hg
2 3 2
Cartesian
1.960 9.924 0.000
1.960 -9.924 0.000
1.960 13.919 0.000
1.960 0.000 1.942
1.960 -13.919 0.000
1.960 4.357 1.942
1.960 -4.357 1.942
```

---

[2]
Here is SiAgSb after structural relaxation from the Alexandria database. Energies are from PBE.

Output
The total energy is -3.71 eV/atom. The total magnetization comes out at 0.00 Bohr magnetons per cell. The value obtained for the density of states at the Fermi level is 1.201 states/eV per cell.

Cell and atoms, written as POSCAR:
```
SiAgSb
1.0
-1.619 1.619 5.917
1.619 -1.619 5.917
1.619 1.619 -5.917
Si Ag Sb
1 1 1
Cartesian
0.000 0.000 0.000
0.000 0.000 4.349
0.000 0.000 8.065
```

---

[3]
Here is SmEr4Te5 after structural relaxation from the Alexandria database. Energies are from PBE.

Output
The total energy is -5.12 eV/atom. The total magnetization comes out at 0.00 Bohr magnetons per cell. The value obtained for the density of states at the Fermi level is 5.298 states/eV per cell.

Cell and atoms, written as POSCAR:
```
SmEr4Te5
1.0
-2.154 2.154 15.652
2.154 -2.154 15.652
2.154 2.154 -15.652
Sm Er Te
1 4 5
Cartesian
0.000 0.000 0.000
0.000 0.000 6.564
0.000 0.000 12.715
0.000 0.000 18.588
0.000 0.000 24.739
0.000 0.000 3.282
0.000 0.000 9.595
0.000 0.000 15.652
0.000 0.000 21.708
0.000 0.000 28.021
```

---

[4]
Here is Si3PdPb2Au12 after structural relaxation from the Alexandria database. Energies are from PBE.

Output
The total energy is -3.68 eV/atom. The total magnetization comes out at 0.00 Bohr magnetons per cell. The value obtained for the density of states at the Fermi level is 7.690 states/eV per cell.

Cell and atoms, written as POSCAR:
```
Si3PdPb2Au12
1.0
4.589 2.649 5.311
-4.589 2.649 5.311
0.000 -5.299 5.311
Si Pd Pb Au
3 1 2 12
Cartesian
-2.294 -1.325 5.311
-2.294 1.325 10.622
0.000 2.649 5.311
0.000 0.000 7.966
0.000 0.000 1.641
0.000 0.000 14.292
-2.404 -1.388 7.715
0.000 -2.339 5.340
-2.025 1.169 5.340
0.000 -2.775 8.217
-2.404 1.388 8.217
-2.025 -1.169 10.592
2.025 1.169 5.340
2.404 -1.388 7.715
0.000 2.775 7.715
2.025 -1.169 10.592
0.000 2.339 10.592
2.404 1.388 8.217
```

---

[5]
Here is RbSr2BiS4 after structural relaxation from the Alexandria database. Energies are from PBE.

Output
The total energy is -4.44 eV/atom. The total magnetization comes out at 0.00 Bohr magnetons per cell.

Cell and atoms, written as POSCAR:
```
RbSr2BiS4
1.0
-4.307 4.344 6.052
4.307 -4.344 6.052
4.307 4.344 -6.052
Rb Sr Bi S
2 4 2 8
Cartesian
-2.153 2.172 3.026
2.153 2.172 3.026
0.000 0.000 0.000
2.153 2.172 -3.026
2.153 -2.172 3.026
0.000 4.344 0.000
4.307 0.000 0.000
0.000 0.000 6.052
4.307 -0.166 2.903
4.307 4.178 -2.903
2.255 2.172 -0.087
6.359 2.172 -0.087
-2.052 2.172 6.139
2.052 2.172 6.139
0.000 0.166 8.954
0.000 4.510 3.149
```

---

[6]
Here is CsPaRuS3 after structural relaxation from the Alexandria database. Energies are from PBE.

Output
The total energy is -6.52 eV/atom. The total magnetization comes out at 0.56 Bohr magnetons per cell. The value obtained for the density of states at the Fermi level is 8.864 states/eV per cell.

Cell and atoms, written as POSCAR:
```
CsPaRuS3
1.0
9.488 0.000 0.000
0.000 3.921 0.000
-3.871 0.000 8.943
Cs Pa Ru S
2 2 2 6
Cartesian
1.039 0.980 2.220
4.578 2.940 6.723
-0.237 2.940 7.453
5.854 0.980 1.490
-1.498 0.980 5.331
7.114 2.940 3.612
-2.069 0.980 7.645
-0.254 2.940 4.828
3.887 2.940 1.281
1.730 0.980 7.662
5.870 0.980 4.115
7.686 2.940 1.298
```

---

[7]
Here is NaCrGe3 after structural relaxation from the Alexandria database. Energies are from PBE.

Output
The total energy is -4.88 eV/atom. The total magnetization comes out at 0.00 Bohr magnetons per cell. The value obtained for the density of states at the Fermi level is 3.151 states/eV per cell.

Cell and atoms, written as POSCAR:
```
NaCrGe3
1.0
4.705 0.000 0.000
0.000 4.705 0.000
0.000 0.000 4.705
Na Cr Ge
1 1 3
Cartesian
0.000 0.000 0.000
2.353 2.353 2.353
0.000 2.353 2.353
2.353 0.000 2.353
2.353 2.353 0.000
```

---

[8]
Here is TiCdTeI2 after structural relaxation from the Alexandria database. Energies are from PBE.

Output
The total energy is -3.22 eV/atom. The total magnetization comes out at 0.00 Bohr magnetons per cell. The value obtained for the density of states at the Fermi level is 2.833 states/eV per cell.

Cell and atoms, written as POSCAR:
```
TiCdTeI2
1.0
5.633 0.000 0.000
0.000 5.633 0.000
0.000 0.000 5.349
Ti Cd Te I
1 1 1 2
Cartesian
0.000 0.000 0.000
2.817 2.817 2.675
0.000 0.000 2.675
0.000 2.817 0.000
2.817 0.000 0.000
```

---

[9]
Here is AlTlHg after structural relaxation from the Alexandria database. Energies are from PBE.

Output
The total energy is -2.01 eV/atom. The total magnetization comes out at 0.00 Bohr magnetons per cell. The value obtained for the density of states at the Fermi level is 2.489 states/eV per cell.

Cell and atoms, written as POSCAR:
```
AlTlHg
1.0
4.435 0.000 0.000
-0.070 5.965 0.000
-2.212 -1.830 5.777
Al Tl Hg
2 2 2
Cartesian
-0.029 1.372 2.479
2.182 2.764 3.298
-0.049 4.467 1.578
2.202 -0.331 4.199
-0.041 2.698 5.095
2.195 1.437 0.682
```

---

[10]
Here is Ac2CuBiO6 after structural relaxation from the Alexandria database. Energies are from PBE.

Output
The total energy is -6.66 eV/atom. The total magnetization comes out at 0.18 Bohr magnetons per cell. The value obtained for the density of states at the Fermi level is 2.114 states/eV per cell.

Cell and atoms, written as POSCAR:
```
Ac2CuBiO6
1.0
5.249 -2.869 0.000
5.249 2.869 0.000
-3.052 0.000 5.044
Ac Cu Bi O
2 1 1 6
Cartesian
1.867 0.000 1.118
5.578 0.000 3.926
5.249 0.000 0.000
-1.526 0.000 2.522
4.076 1.375 0.872
0.586 0.000 3.229
3.370 1.375 4.172
4.076 -1.375 0.872
6.859 0.000 1.815
3.370 -1.375 4.172
```

---

[11]
Here is CrMoBr3 after structural relaxation from the Alexandria database. Energies are from PBE.

Output
The total energy is -4.70 eV/atom. The total magnetization comes out at 1.51 Bohr magnetons per cell. The value obtained for the density of states at the Fermi level is 6.749 states/eV per cell.

Cell and atoms, written as POSCAR:
```
CrMoBr3
1.0
5.310 0.000 0.000
0.000 5.310 0.000
0.000 0.000 5.310
Cr Mo Br
1 1 3
Cartesian
0.000 0.000 0.000
2.655 2.655 2.655
0.000 2.655 2.655
2.655 0.000 2.655
2.655 2.655 0.000
```

---

[12]
Here is HfMg2GeW after structural relaxation from the Alexandria database. Energies are from PBE.

Output
The total energy is -5.01 eV/atom. The total magnetization comes out at 0.00 Bohr magnetons per cell. The value obtained for the density of states at the Fermi level is 3.354 states/eV per cell.

Cell and atoms, written as POSCAR:
```
HfMg2GeW
1.0
5.181 0.000 0.000
0.000 5.181 0.000
0.000 0.000 4.919
Hf Mg Ge W
1 2 1 1
Cartesian
0.000 0.000 0.000
0.000 2.591 2.459
2.591 0.000 2.459
2.591 2.591 0.000
0.000 0.000 2.459
```